Record 1
Here is a relaxed structure of LiAl2PbSe4 from Alexandria. Energies are from GGA-PBE.

Values from the calculation:
Uncorrected formation energy: -65 kJ/mol of atoms
Density of states at the Fermi level: 2.05 states/eV per cell

Cell lengths 6.0350, 6.0350, 7.2986 Å; angles 111.07, 111.07, 97.50 degrees
Fractional coordinates of all 8 atoms:
Al 0.7590 0.2590 0.5181
Al 0.2590 0.7590 0.5181
Se 0.1195 0.1195 0.6982
Se 0.5787 0.5787 0.6982
Li 0.4977 0.4977 0.9954
Se 0.4208 0.8555 0.2763
Pb 0.0100 0.0100 0.0201
Se 0.8555 0.4208 0.2763

***

Record 2
Here is a relaxed structure of LiAlPb2Se4 from Alexandria. Energies are from GGA-PBE.

Values from the calculation:
Uncorrected formation energy: -72 kJ/mol of atoms
Density of states at the Fermi level: 0.00 states/eV per cell

Cell lengths 6.9733, 6.8334, 6.6362 Å; angles 119.49, 112.39, 97.28 degrees
Fractional coordinates of all 8 atoms:
Pb 0.1375 0.1851 0.3340
Al 0.7570 0.7512 0.5037
Se 0.7907 0.3910 0.1919
Li 0.0049 0.4849 0.9901
Se 0.4110 0.8088 0.3543
Pb 0.4215 0.9233 0.8380
Se 0.8013 0.7287 0.8692
Se 0.0632 0.1141 0.6928

***

Record 3
Here is a relaxed structure of LiAlSnPb from Alexandria. Energies are from GGA-PBE.

Values from the calculation:
ΔE_f: -0.007 eV/atom
Density of states at the Fermi level: 1.86 states/eV per cell

Cell lengths 5.0913, 5.0913, 5.0913 Å; angles 60.00, 60.00, 60.00 degrees
Fractional coordinates of all 4 atoms:
Al 0.0000 0.0000 0.0000
Sn 0.2500 0.2500 0.2500
Pb 0.7500 0.7500 0.7500
Li 0.5000 0.5000 0.5000

***

Which formula does entry 2 have?
LiAlPb2Se4